No. 1
This record from Alexandria describes a relaxed ZrNp3U3Se8 crystal. The functional is PBE.

Results
- energy relative to the elements, uncorrected (eV per formula unit) = -17.1
- SG = R-3m

Cell and atoms, written as POSCAR:
```
ZrNp3U3Se8
1.0
8.0477 0.0000 0.0000
-4.0238 6.9661 -0.0235
0.0000 -4.6208 6.7084
Zr Np U Se
1 3 3 8
direct
0.0000 0.0000 0.5000
0.0000 0.0000 0.0000
0.0000 0.5000 0.0000
0.5000 0.5000 0.0000
0.5000 0.0000 0.5000
0.5000 0.5000 0.5000
0.0000 0.5000 0.5000
0.2489 0.4978 0.2479
0.7511 0.5022 0.7521
0.7510 0.5021 0.2521
0.2490 0.4979 0.7479
0.7516 0.0007 0.2517
0.2484 0.9993 0.7483
0.2492 0.0007 0.2517
0.7508 0.9993 0.7483
```

No. 2
This record from Alexandria describes a relaxed NpVSe3 crystal. The functional is PBE.

Results
- energy relative to the elements, uncorrected (eV per formula unit) = -4.3
- SG = Pbcm

Cell and atoms, written as POSCAR:
```
NpVSe3
1.0
-5.5268 1.0878 0.8209
0.3628 -2.9287 6.3229
2.6130 9.9213 4.4455
Np V Se
4 4 12
direct
0.7500 0.5458 0.6651
0.2500 0.4542 0.3349
0.7500 0.0458 0.3349
0.2500 0.9542 0.6651
0.5000 0.2500 0.0736
0.0000 0.7500 0.9264
0.5000 0.7500 0.9264
0.0000 0.2500 0.0736
0.0000 0.2500 0.5293
0.5000 0.7500 0.4707
0.0000 0.7500 0.4707
0.5000 0.2500 0.5293
0.2500 0.0719 0.9167
0.7500 0.9281 0.0833
0.2500 0.5719 0.0833
0.7500 0.4281 0.9167
0.2500 0.5761 0.7601
0.7500 0.4239 0.2399
0.2500 0.0761 0.2399
0.7500 0.9239 0.7601
```

No. 3
This record from Alexandria describes a relaxed NpVSe3 crystal. The functional is PBE.

Results
- energy relative to the elements, uncorrected (eV per formula unit) = -4.3
- SG = P2_1/m

Cell and atoms, written as POSCAR:
```
NpVSe3
1.0
3.6964 0.0000 0.0000
0.0000 7.2761 0.2032
0.0000 -1.4305 7.8955
Np V Se
2 2 6
direct
0.2500 0.3829 0.2049
0.7500 0.6171 0.7951
0.2500 0.8850 0.3828
0.7500 0.1150 0.6172
0.7500 0.6363 0.4103
0.2500 0.3637 0.5897
0.7500 0.2755 0.9341
0.2500 0.9091 0.6921
0.2500 0.7245 0.0659
0.7500 0.0909 0.3079
```

No. 4
This record from Alexandria describes a relaxed NpW4Se8 crystal. The functional is PBE.

Results
- energy relative to the elements, uncorrected (eV per formula unit) = -2.7
- SG = R-3m

Cell and atoms, written as POSCAR:
```
NpW4Se8
1.0
6.1759 -0.0005 -3.3320
-3.9866 5.7750 -0.0004
0.2692 0.1865 7.8887
Np W Se
1 4 8
direct
0.0000 0.5000 0.5000
0.0000 0.0000 0.0000
0.0000 0.5000 0.0000
0.5000 0.5000 0.0000
0.5000 0.0000 0.0000
0.4912 0.7456 0.2368
0.5088 0.2544 0.7632
0.4785 0.2392 0.2393
0.0000 0.2392 0.7607
0.5215 0.7608 0.7607
0.0000 0.7608 0.7607
0.0000 0.2392 0.2393
0.0000 0.7608 0.2393
```

Number 1: total DFT energy (no corrections) -8.417 eV/atom. Number 2: total DFT energy (no corrections) -7.368 eV/atom. Number 3: total DFT energy (no corrections) -7.370 eV/atom. Number 4: total DFT energy (no corrections) -7.332 eV/atom.